# Pr2In5Pd3

Crystalline Pr2In5Pd3 at its relaxed geometry (PBE-GGA, the Alexandria database).

a b c (Å): 10.9725 13.8106 6.1539
angles (deg): 90.00 90.00 90.00
Last column: nearest neighbours and their distance in Å.
Space group Ibam (No. 72)
Asymmetric unit:
Pr (0.2163, 0.1520, 0.0000) x8  4 Pd 3.37-3.47, 10 In 3.38-3.74
In (0.0000, 0.0000, 0.2500) x4  4 Pd 2.75, 2 In 3.08
In (0.0000, 0.2967, 0.2500) x8  3 Pd 2.74-2.81, 2 In 3.05
In (0.1816, 0.4212, 0.0000) x8  3 Pd 2.68-2.74
Pd (0.0000, 0.5000, 0.2500) x4  6 In 2.74-2.81
Pd (0.0909, 0.1488, 0.5000) x8  5 In 2.68-2.75

As for the final energy: -44.809 eV/f.u. The value obtained for the size of the total moment is 0.00 μB/f.u.